1.
The following is a PBE calculation of a relaxed CrCoSe2 crystal, from the Alexandria database.

The structure in POSCAR format:
```
CrCoSe2
1.0
3.710 -0.016 0.026
1.865 3.207 0.026
1.816 1.039 5.737
Co Se Cr
1 2 1
Cartesian
5.543 3.173 4.342
1.814 1.038 5.656
3.697 2.116 2.976
1.848 1.058 1.447
```

**Space group**: No. 166
**Formation energy from raw total energies**: -0.1215 eV/atom
**Total DFT energy (no corrections)**: -6.0461 eV per atom
**Spin magnetization**: 5.27 μB/f.u.
**D(E_F)**: 5.17 states/eV/cell


2.
The following is a PBE calculation of a relaxed Cr2RuAu crystal, from the Alexandria database.

The structure in POSCAR format:
```
Cr2RuAu
1.0
3.716 0.000 0.000
0.000 2.758 -0.002
0.000 2.767 5.492
Cr Au Ru
2 1 1
Cartesian
0.000 2.757 0.251
0.000 2.763 2.491
1.858 4.144 4.117
1.858 1.381 1.372
```

**Calculated formation energy**: 0.202 eV per atom
**Space group**: No. 47
**Total DFT energy (no corrections)**: -7.7480 eV per atom
**Spin magnetization**: 0.00 μB/f.u.
**D(E_F)**: 4.46 states/eV/cell


3.
The following is a PBE calculation of a relaxed La2Pr3Sm4 crystal, from the Alexandria database.

The structure in POSCAR format:
```
La2Pr3Sm4
1.0
3.675 0.000 0.000
-1.838 3.183 0.000
0.000 0.000 27.517
Sm Pr La
4 3 2
Cartesian
0.000 0.000 20.904
1.838 1.061 6.013
1.838 1.061 12.003
0.000 0.000 14.886
0.000 0.000 27.079
1.838 1.061 17.923
0.000 0.000 8.907
1.838 1.061 23.913
1.838 1.061 2.580
```

**Calculated formation energy**: 0.061 eV per atom
**Space group**: No. 156
**Total DFT energy (no corrections)**: -4.7250 eV per atom
**Spin magnetization**: 0.00 μB/f.u.
**D(E_F)**: 16.49 states/eV/cell


4.
The following is a PBE calculation of a relaxed LaZrOs crystal, from the Alexandria database.

The structure in POSCAR format:
```
LaZrOs
1.0
5.578 0.000 -0.002
0.000 4.644 0.000
-1.397 0.000 5.875
Os La Zr
2 2 2
Cartesian
4.893 1.161 0.855
-0.712 3.483 5.018
3.507 1.161 3.455
0.674 3.483 2.418
3.762 3.483 0.159
0.419 1.161 5.714
```

**Calculated formation energy**: -0.111 eV per atom
**Space group**: No. 11
**Total DFT energy (no corrections)**: -8.3465 eV per atom
**Spin magnetization**: 0.00 μB/f.u.
**D(E_F)**: 5.98 states/eV/cell


5.
The following is a PBE calculation of a relaxed CsCd2InF8 crystal, from the Alexandria database.

The structure in POSCAR format:
```
CsCd2InF8
1.0
-5.192 1.214 -0.439
-2.110 -4.806 1.663
-1.307 1.798 7.621
F Cd In Cs
8 2 1 1
Cartesian
-3.220 0.932 7.644
-5.388 -2.725 1.200
-5.863 1.260 6.156
-5.330 -1.666 4.687
-2.746 -3.053 2.689
-3.870 -2.078 7.435
-3.279 -0.128 4.157
-4.738 0.284 1.410
-4.329 -1.484 2.694
-4.279 -0.310 6.151
0.000 0.000 0.000
-0.654 0.899 3.810
```

**Space group**: No. 2
**Formation energy from raw total energies**: -2.3626 eV/atom
**Total DFT energy (no corrections)**: -4.0620 eV per atom
**Spin magnetization**: 0.00 μB/f.u.
**D(E_F)**: 0.00 states/eV/cell


6.
The following is a PBE calculation of a relaxed LiLaTl2Cl6 crystal, from the Alexandria database.

The structure in POSCAR format:
```
LiLaTl2Cl6
1.0
-6.775 -2.346 1.717
-0.387 -3.731 -6.625
4.174 -8.501 4.544
Cl La Li Tl
12 2 2 4
Cartesian
-2.070 -3.648 -3.946
-3.409 -9.447 -1.482
-0.918 -10.931 3.583
-2.564 -7.323 1.732
-0.425 -7.256 -2.095
-0.119 -10.943 -2.423
-1.757 -12.983 0.498
-2.869 -3.635 2.060
0.421 -5.131 1.118
2.426 -8.446 0.396
-1.232 -1.596 -0.861
-5.414 -6.132 -0.759
1.893 -6.116 -1.040
-3.388 -1.173 0.859
-0.193 -1.866 -3.312
-1.301 -5.424 3.131
0.567 -5.645 -5.071
-3.555 -8.933 4.708
-2.401 -4.922 -0.931
-0.587 -9.657 0.567
```

**Space group**: No. 14
**Formation energy from raw total energies**: -1.7212 eV/atom
**Total DFT energy (no corrections)**: -3.9865 eV per atom
**Spin magnetization**: 0.00 μB/f.u.
**D(E_F)**: 0.00 states/eV/cell


7.
The following is a PBE calculation of a relaxed Er3ZnCd3 crystal, from the Alexandria database.

The structure in POSCAR format:
```
Er3ZnCd3
1.0
4.707 0.000 -1.027
-0.172 3.401 -0.790
-0.171 0.638 10.520
Er Cd Zn
3 3 1
Cartesian
3.197 0.941 3.354
4.345 4.018 8.613
1.189 3.123 5.449
3.859 1.680 6.388
0.518 2.375 2.374
2.538 2.002 0.329
1.811 2.020 8.303
```

**Calculated formation energy**: -0.266 eV per atom
**Space group**: No. 44
**Total DFT energy (no corrections)**: -2.7954 eV per atom
**Spin magnetization**: 0.00 μB/f.u.
**D(E_F)**: 6.85 states/eV/cell


8.
The following is a PBE calculation of a relaxed LiZrTi2Be crystal, from the Alexandria database.

The structure in POSCAR format:
```
LiZrTi2Be
1.0
4.481 0.000 0.000
0.000 4.481 0.000
0.000 0.000 4.114
Ti Be Zr Li
2 1 1 1
Cartesian
2.240 0.000 0.000
0.000 2.240 0.000
0.000 0.000 2.057
2.240 2.240 2.057
0.000 0.000 0.000
```

**Calculated formation energy**: 0.687 eV per atom
**Space group**: No. 123
**Total DFT energy (no corrections)**: -5.3088 eV per atom
**Spin magnetization**: 2.75 μB/f.u.
**D(E_F)**: 7.05 states/eV/cell


9.
The following is a PBE calculation of a relaxed ZnSiSb crystal, from the Alexandria database.

The structure in POSCAR format:
```
ZnSiSb
1.0
3.964 0.000 0.000
-1.982 3.433 0.000
0.000 0.000 4.695
Sb Zn Si
1 1 1
Cartesian
0.000 0.000 0.137
0.000 2.288 2.933
1.982 1.144 1.625
```

**Space group**: No. 156
**Formation energy from raw total energies**: 0.2493 eV/atom
**Total DFT energy (no corrections)**: -3.3571 eV per atom
**Spin magnetization**: 0.00 μB/f.u.
**D(E_F)**: 1.69 states/eV/cell


10.
The following is a PBE calculation of a relaxed Nd2YEr3Te6 crystal, from the Alexandria database.

The structure in POSCAR format:
```
Nd2YEr3Te6
1.0
4.344 0.000 0.000
0.000 8.865 0.224
-2.172 -2.652 9.247
Te Y Er Nd
6 1 3 2
Cartesian
2.172 -0.409 9.226
0.000 6.442 6.396
0.000 1.821 6.345
2.172 -0.229 3.076
2.172 4.392 3.127
0.000 6.622 0.245
2.172 0.000 0.000
2.172 -0.283 6.119
2.172 4.432 0.112
0.000 6.496 3.353
2.172 4.120 6.263
0.000 2.093 3.209
```

**Space group**: No. 12
**Formation energy from raw total energies**: -1.3026 eV/atom
**Total DFT energy (no corrections)**: -5.3474 eV per atom
**Spin magnetization**: 0.00 μB/f.u.
**D(E_F)**: 6.33 states/eV/cell


11.
The following is a PBE calculation of a relaxed Si2Te crystal, from the Alexandria database.

The structure in POSCAR format:
```
Si2Te
1.0
5.680 -0.022 -0.014
4.469 3.506 -0.014
4.469 1.534 3.153
Te Si
1 2
Cartesian
0.000 0.000 0.000
11.625 3.990 2.485
2.993 1.027 0.640
```

**Space group**: No. 166
**Formation energy from raw total energies**: 0.3899 eV/atom
**Total DFT energy (no corrections)**: -4.2726 eV per atom
**Spin magnetization**: 0.00 μB/f.u.
**D(E_F)**: 1.45 states/eV/cell


12.
The following is a PBE calculation of a relaxed MgAlV2Cu crystal, from the Alexandria database.

The structure in POSCAR format:
```
MgAlV2Cu
1.0
-1.006 -1.696 4.064
-3.760 -2.295 -1.888
2.614 -3.585 -0.848
V Cu Al Mg
2 1 1 1
Cartesian
-0.503 -0.848 2.032
1.307 -1.792 -0.424
-1.076 -3.788 0.664
0.000 0.000 0.000
-1.880 -1.148 -0.944
```

**Calculated formation energy**: 1.318 eV per atom
**Space group**: No. 123
**Total DFT energy (no corrections)**: -4.2165 eV per atom
**Spin magnetization**: 0.00 μB/f.u.
**D(E_F)**: 6.13 states/eV/cell


13.
The following is a PBE calculation of a relaxed Cs2KAgPb crystal, from the Alexandria database.

The structure in POSCAR format:
```
Cs2KAgPb
1.0
7.171 0.000 0.000
0.000 7.171 0.000
0.000 0.000 5.507
Ag Cs K Pb
1 2 1 1
Cartesian
0.000 0.000 0.000
0.000 3.586 0.000
3.586 0.000 0.000
3.586 3.586 2.754
0.000 0.000 2.754
```

**Calculated formation energy**: 0.069 eV per atom
**Space group**: No. 123
**Total DFT energy (no corrections)**: -1.8038 eV per atom
**Spin magnetization**: 0.01 μB/f.u.
**D(E_F)**: 4.79 states/eV/cell


14.
The following is a PBE calculation of a relaxed K2RbTl2 crystal, from the Alexandria database.

The structure in POSCAR format:
```
K2RbTl2
1.0
-4.221 -1.205 1.254
-1.083 -0.753 -4.370
1.359 -13.771 -0.348
Rb Tl K
1 2 2
Cartesian
0.000 0.000 0.000
-1.188 -7.751 -3.138
-2.757 -7.977 -0.326
-2.395 -11.236 -2.239
-1.551 -4.492 -1.226
```

**Calculated formation energy**: 0.013 eV per atom
**Space group**: No. 139
**Total DFT energy (no corrections)**: -1.5665 eV per atom
**Spin magnetization**: 0.00 μB/f.u.
**D(E_F)**: 2.91 states/eV/cell


15.
The following is a PBE calculation of a relaxed Sc2AgSe crystal, from the Alexandria database.

The structure in POSCAR format:
```
Sc2AgSe
1.0
-3.104 0.616 -2.360
-2.337 -1.188 2.764
-1.570 4.531 3.246
Sc Ag Se
2 1 1
Cartesian
-2.510 1.907 1.323
-5.071 -0.424 0.781
-5.282 2.270 1.761
-3.879 3.877 3.638
```

**Space group**: No. 38
**Formation energy from raw total energies**: -0.7289 eV/atom
**Total DFT energy (no corrections)**: -5.4786 eV per atom
**Spin magnetization**: 0.00 μB/f.u.
**D(E_F)**: 2.68 states/eV/cell


16.
The following is a PBE calculation of a relaxed La2TiH crystal, from the Alexandria database.

The structure in POSCAR format:
```
La2TiH
1.0
0.000 3.616 3.616
3.616 0.000 3.616
3.616 3.616 0.000
H La Ti
1 2 1
Cartesian
0.000 0.000 0.000
5.424 5.424 5.424
1.808 1.808 1.808
3.616 3.616 3.616
```

**Space group**: No. 225
**Total DFT energy (no corrections)**: -4.7188 eV per atom
**Spin magnetization**: 2.42 μB/f.u.
**D(E_F)**: 3.93 states/eV/cell


17.
The following is a PBE calculation of a relaxed Cs2HgGe crystal, from the Alexandria database.

The structure in POSCAR format:
```
Cs2HgGe
1.0
7.145 0.000 0.000
0.000 6.715 -2.501
0.000 0.111 7.165
Hg Ge Cs
2 2 4
Cartesian
3.572 3.413 2.332
0.000 3.413 2.332
1.786 5.020 3.430
5.359 1.805 1.233
5.359 0.213 4.830
1.786 6.613 -0.166
5.359 4.577 -1.557
1.786 2.248 6.221
```

**Calculated formation energy**: -0.177 eV per atom
**Space group**: No. 63
**Total DFT energy (no corrections)**: -1.8339 eV per atom
**Spin magnetization**: 0.00 μB/f.u.


18.
The following is a PBE calculation of a relaxed TbPmMnRu crystal, from the Alexandria database.

The structure in POSCAR format:
```
TbPmMnRu
1.0
4.975 0.000 0.000
2.488 4.309 0.000
2.488 1.436 4.062
Ru Mn Tb Pm
1 1 1 1
Cartesian
2.488 1.436 1.016
7.463 4.309 3.047
4.975 2.873 2.031
0.000 0.000 0.000
```

**Calculated formation energy**: 0.013 eV per atom
**Space group**: No. 216
**Total DFT energy (no corrections)**: -6.9438 eV per atom
**Spin magnetization**: 3.49 μB/f.u.
**D(E_F)**: 2.50 states/eV/cell


19.
The following is a PBE calculation of a relaxed Sm2DyEr8 crystal, from the Alexandria database.

The structure in POSCAR format:
```
Sm2DyEr8
1.0
5.602 1.659 0.000
2.617 8.601 0.000
1.309 4.300 7.994
Er Sm Dy
8 2 1
Cartesian
6.486 7.515 6.124
5.438 6.064 0.000
2.782 4.196 0.000
3.043 7.045 1.871
4.110 5.130 4.688
5.177 3.215 1.871
5.419 9.430 3.307
4.351 11.345 6.124
2.617 8.601 4.912
1.309 4.300 3.083
2.801 0.830 0.000
```

**Calculated formation energy**: 0.162 eV per atom
**Space group**: No. 12
**Total DFT energy (no corrections)**: -4.4327 eV per atom
**Spin magnetization**: 0.01 μB/f.u.
**D(E_F)**: 15.26 states/eV/cell


20.
The following is a PBE calculation of a relaxed Rh3C5 crystal, from the Alexandria database.

The structure in POSCAR format:
```
Rh3C5
1.0
-0.505 3.858 -1.847
-3.630 -2.271 -0.471
-1.511 1.625 3.808
C Rh
5 3
Cartesian
-0.252 1.929 -0.923
-2.248 1.386 1.068
0.000 0.000 0.000
-1.815 -1.135 -0.235
-3.397 1.827 0.423
-3.816 -0.343 1.183
-1.829 3.556 0.308
-2.067 0.794 -1.159
```

**Calculated formation energy**: 1.904 eV per atom
**Space group**: No. 65
**Total DFT energy (no corrections)**: -6.6172 eV per atom
**Spin magnetization**: 0.00 μB/f.u.
**D(E_F)**: 4.59 states/eV/cell


21.
The following is a PBE calculation of a relaxed SrTlInS3 crystal, from the Alexandria database.

The structure in POSCAR format:
```
SrTlInS3
1.0
5.182 0.000 0.000
-2.591 8.134 0.210
0.000 -2.156 8.018
S In Tl Sr
6 2 2 2
Cartesian
0.000 1.925 2.855
2.591 -0.470 2.105
0.000 0.650 6.389
0.000 6.449 6.122
2.591 4.053 5.372
2.591 5.328 1.838
0.000 -0.399 2.065
2.591 6.377 6.162
2.591 2.375 0.620
0.000 3.603 7.608
0.000 4.812 3.545
2.591 1.167 4.683
```

**Space group**: No. 12
**Formation energy from raw total energies**: -0.8657 eV/atom
**Total DFT energy (no corrections)**: -4.0605 eV per atom
**Spin magnetization**: 0.00 μB/f.u.


22.
The following is a PBE calculation of a relaxed NaInPb2Br8 crystal, from the Alexandria database.

The structure in POSCAR format:
```
NaInPb2Br8
1.0
7.102 0.036 -0.004
0.070 6.726 -0.007
0.006 0.011 8.805
Br Na Pb In
8 1 2 1
Cartesian
6.098 1.592 6.795
1.084 5.188 6.795
4.879 5.247 8.796
1.080 5.181 1.998
6.094 1.585 1.999
2.433 1.805 4.399
4.745 4.968 4.394
2.299 1.526 -0.002
0.003 0.005 4.402
3.588 3.384 2.186
3.590 3.389 6.607
0.000 0.000 0.000
```

**Space group**: No. 10
**Formation energy from raw total energies**: -0.9576 eV/atom
**Total DFT energy (no corrections)**: -3.0291 eV per atom
**Spin magnetization**: 0.00 μB/f.u.
**D(E_F)**: 0.00 states/eV/cell


23.
The following is a PBE calculation of a relaxed TmPaTl2 crystal, from the Alexandria database.

The structure in POSCAR format:
```
TmPaTl2
1.0
-0.825 -2.412 -4.700
3.955 -2.745 -2.327
-0.243 -5.337 -0.260
Tm Pa Tl
1 1 2
Cartesian
1.444 -5.247 -3.644
0.000 0.000 0.000
0.722 -2.623 -1.822
2.165 -7.870 -5.465
```

**Calculated formation energy**: 0.082 eV per atom
**Space group**: No. 225
**Total DFT energy (no corrections)**: -4.5934 eV per atom
**Spin magnetization**: 1.43 μB/f.u.
**D(E_F)**: 9.22 states/eV/cell


24.
The following is a PBE calculation of a relaxed TiP2S4 crystal, from the Alexandria database.

The structure in POSCAR format:
```
TiP2S4
1.0
-0.476 -0.156 -5.777
-5.059 -1.535 2.382
1.391 5.370 1.689
S Ti P
4 1 2
Cartesian
-3.780 1.279 -1.105
-2.302 3.524 1.998
-0.365 2.401 -0.601
-1.842 0.155 -3.705
-2.768 -0.845 -1.697
-3.218 1.495 1.187
-0.926 2.185 -2.893
```

**Space group**: No. 87
**Formation energy from raw total energies**: 0.0906 eV/atom
**Total DFT energy (no corrections)**: -4.9415 eV per atom
**Spin magnetization**: 1.30 μB/f.u.
**D(E_F)**: 5.69 states/eV/cell


25.
The following is a PBE calculation of a relaxed GdMgZn crystal, from the Alexandria database.

The structure in POSCAR format:
```
GdMgZn
1.0
3.380 0.000 0.000
0.000 3.380 0.000
-1.690 -1.690 6.089
Mg Gd Zn
1 1 1
Cartesian
1.690 1.690 1.710
1.690 1.690 5.303
0.000 0.000 3.338
```

**Calculated formation energy**: -0.174 eV per atom
**Space group**: No. 107
**Total DFT energy (no corrections)**: -5.8240 eV per atom
**Spin magnetization**: 7.63 μB/f.u.
**D(E_F)**: 2.78 states/eV/cell